This record from OQMD describes an optimized crystal structure of CoReSiNi. The functional is GGA-PBE.

V: 12.019 Å³/atom
electronic total energy: -7.56 eV/atom
crystal system: cubic
distance to the lowest polymorph of the same formula: 0.73 eV/f.u.

abc: 5.7720 5.7720 5.7720
angles: 90.00 90.00 90.00
Last column: nearest neighbours and their distance in Å.
Space group F-43m (No. 216)
Symmetry-distinct sites (fractional):
Co: 0.0000 0.0000 0.0000 x4  4 Re 2.50, 4 Si 2.50
Re: 0.2500 0.2500 0.2500 x4  4 Co 2.50, 4 Ni 2.50
Si: 0.2500 0.2500 0.7500 x4  4 Co 2.50, 4 Ni 2.50
Ni: 0.0000 0.0000 0.5000 x4  4 Si 2.50, 4 Re 2.50

=====

This record from OQMD describes an optimized crystal structure of Y2HgAu2. The functional is GGA-PBE.

energy of formation: -155 kJ/mol of formula units
V: 25.064 Å³/atom
electronic total energy: -4.27 eV/atom
crystal system: tetragonal

abc: 4.3409 4.3409 13.3013
angles: 90.00 90.00 90.00
Last column: nearest neighbours and their distance in Å.
Space group I4/mmm (No. 139)
Symmetry-distinct sites (fractional):
Y: 0.0000 0.0000 0.1132 x4  4 Au 2.83, 1 Y 3.01
Hg: 0.0000 0.0000 0.5000 x2  8 Y 3.42
Au: 0.0000 0.5000 0.2500 x4  4 Y 2.83, 4 Au 3.07

=====

This record from OQMD describes an optimized crystal structure of Pr3Nd3Te2Ir. The functional is GGA-PBE.

V: 29.641 Å³/atom
electronic total energy: -5.69 eV/atom
crystal system: hexagonal
distance to the lowest polymorph of the same formula: 0.18 eV/f.u.

abc: 8.7293 8.7293 4.0424
angles: 90.00 90.00 120.00
Last column: nearest neighbours and their distance in Å.
Space group P-62m (No. 189)
Symmetry-distinct sites (fractional):
Pr: 0.0000 0.7570 0.0000 x3  2 Ir 2.93
Nd: 0.0000 0.4079 0.5000 x3  4 Te 3.33, 1 Ir 3.56, 6 Pr 3.66-3.70
Te: 0.3333 0.6667 0.0000 x2  6 Nd 3.33, 3 Pr 3.37
Ir: 0.0000 0.0000 0.5000 x1  6 Pr 2.93

=====

This record from OQMD describes an optimized crystal structure of Dy2ErCu4Si2Ge2. The functional is GGA-PBE.

V: 17.085 Å³/atom
electronic total energy: -5.07 eV/atom
crystal system: orthorhombic
distance to the lowest polymorph of the same formula: 0.00 eV/f.u.

abc: 4.1374 6.5820 13.8027
angles: 90.00 90.00 90.00
Last column: nearest neighbours and their distance in Å.
Space group Immm (No. 71)
Symmetry-distinct sites (fractional):
Dy: 0.0000 0.0000 0.1299 x4  6 Cu 2.97-2.99, 2 Si 2.97, 4 Ge 3.02
Er: 0.0000 0.5000 0.0000 x2  4 Ge 2.89, 2 Si 2.98
Cu: 0.0000 0.1905 0.3262 x8  3 Si 2.49-2.54, 1 Cu 2.51, 1 Ge 2.52
Si: 0.0000 0.5000 0.2159 x4  6 Cu 2.49-2.54
Ge: 0.0000 0.3060 0.5000 x4  2 Cu 2.52, 1 Ge 2.55

=====

This record from OQMD describes an optimized crystal structure of TbNdTlCo2. The functional is GGA-PBE.

V: 21.858 Å³/atom
electronic total energy: -5.44 eV/atom
crystal system: orthorhombic

abc: 3.9012 3.8939 14.3892
angles: 90.00 90.00 90.00
Last column: nearest neighbours and their distance in Å.
Space group Amm2 (No. 38)
Symmetry-distinct sites (fractional):
Tb: 0.0000 0.0000 0.0000 x2  6 Co 2.89-2.92
Nd: 0.0000 0.0000 0.7229 x2  6 Co 2.96-2.97
Tl: 0.5000 0.0000 0.3644 x2  2 Co 2.92-3.12
Co: 0.5000 0.0000 0.1478 x2  2 Co 2.27
Co: 0.5000 0.0000 0.5672 x2  2 Co 2.27

=====

This record from OQMD describes an optimized crystal structure of AcSiAg. The functional is GGA-PBE.

V: 31.558 Å³/atom
electronic total energy: -3.84 eV/atom
crystal system: cubic
distance to the lowest polymorph of the same formula: 1.68 eV/f.u.

abc: 7.2349 7.2349 7.2349
angles: 90.00 90.00 90.00
Last column: nearest neighbours and their distance in Å.
Space group F-43m (No. 216)
Symmetry-distinct sites (fractional):
Ac: 0.0000 0.0000 0.0000 x4  4 Si 3.13, 4 Ag 3.13
Si: 0.2500 0.2500 0.2500 x4  4 Ac 3.13
Ag: 0.2500 0.2500 0.7500 x4  4 Ac 3.13

=====

This record from OQMD describes an optimized crystal structure of Ba2NbTc. The functional is GGA-PBE.

V: 26.335 Å³/atom
electronic total energy: -4.85 eV/atom
crystal system: cubic

abc: 7.4970 7.4970 7.4970
angles: 90.00 90.00 90.00
Last column: nearest neighbours and their distance in Å.
Space group F-43m (No. 216)
Symmetry-distinct sites (fractional):
Ba: 0.0000 0.0000 0.0000 x4  4 Ba 3.25, 4 Tc 3.25
Ba: 0.2500 0.2500 0.2500 x4  4 Nb 3.25, 4 Ba 3.25
Nb: 0.0000 0.0000 0.5000 x4  4 Ba 3.25, 4 Tc 3.25
Tc: 0.2500 0.2500 0.7500 x4  4 Ba 3.25, 4 Nb 3.25

=====

This record from OQMD describes an optimized crystal structure of LaPdO3. The functional is GGA-PBE.

V: 13.027 Å³/atom
electronic total energy: -6.93 eV/atom
crystal system: orthorhombic

abc: 5.9136 7.8787 5.5921
angles: 90.00 90.00 90.00
Last column: nearest neighbours and their distance in Å.
Space group Pnma (No. 62)
Symmetry-distinct sites (fractional):
La: 0.0668 0.2500 0.0188 x4  6 O 2.38-2.63
Pd: 0.0000 0.0000 0.5000 x4  6 O 2.07-2.12
O: 0.0344 0.7500 0.3934 x4  2 Pd 2.07
O: 0.2006 0.5518 0.8054 x8  2 Pd 2.12

=====

This record from OQMD describes an optimized crystal structure of TmMgAuSe2S. The functional is GGA-PBE.

V: 21.732 Å³/atom
electronic total energy: -4.43 eV/atom
crystal system: orthorhombic

abc: 3.8350 13.0422 10.4280
angles: 90.00 90.00 90.00
Last column: nearest neighbours and their distance in Å.
Space group Cmcm (No. 63)
Symmetry-distinct sites (fractional):
Tm: 0.0000 0.0000 0.0000 x4  4 Se 2.84, 2 S 3.00
Mg: 0.0000 0.2427 0.2500 x4  2 S 2.68, 4 Se 2.96
Au: 0.0000 0.4808 0.7500 x4  2 S 2.58, 2 Se 2.59
Se: 0.0000 0.3478 0.5662 x8  1 Au 2.59, 2 Tm 2.84
S: 0.0000 0.1133 0.7500 x4  2 Au 2.58, 2 Mg 2.68

=====

This record from OQMD describes an optimized crystal structure of ReNi. The functional is GGA-PBE.

energy of formation: 93 kJ/mol of formula units
V: 14.040 Å³/atom
electronic total energy: -8.52 eV/atom
crystal system: hexagonal

abc: 5.0591 5.0591 7.6012
angles: 90.00 90.00 120.00
Last column: nearest neighbours and their distance in Å.
Space group P6_3/mmc (No. 194)
Symmetry-distinct sites (fractional):
Re: 0.1753 0.3506 0.2500 x6  4 Re 2.40-2.66, 2 Ni 2.44
Ni: 0.0000 0.0000 0.0000 x2  6 Re 2.44
Ni: 0.3333 0.6667 0.5798 x4  1 Ni 2.59, 9 Re 2.84-2.86

=====

This record from OQMD describes an optimized crystal structure of RbPm2Cu3Se4S. The functional is GGA-PBE.

V: 23.933 Å³/atom
electronic total energy: -4.75 eV/atom
crystal system: orthorhombic

abc: 4.1462 14.6272 17.3633
angles: 90.00 90.00 90.00
Last column: nearest neighbours and their distance in Å.
Space group Cmcm (No. 63)
Symmetry-distinct sites (fractional):
Rb: 0.0000 0.0673 0.2500 x4  6 Se 3.40-3.59, 2 S 3.55
Pm: 0.0000 0.1931 0.5945 x8  1 S 2.77, 5 Se 2.91-2.99
Cu: 0.0000 0.3329 0.2500 x4  2 S 2.30
Cu: 0.0000 0.4151 0.5262 x8  4 Se 2.49-2.59, 1 Cu 2.65
Se: 0.0000 0.1621 0.0714 x8  2 Cu 2.49
Se: 0.0000 0.4441 0.1167 x8  2 Cu 2.52-2.59
S: 0.0000 0.2356 0.7500 x4  2 Cu 2.30

=====

This record from OQMD describes an optimized crystal structure of YSnPd. The functional is GGA-PBE.

V: 22.225 Å³/atom
electronic total energy: -6.16 eV/atom
crystal system: orthorhombic

abc: 7.2119 4.6305 7.9862
angles: 90.00 90.00 90.00
Last column: nearest neighbours and their distance in Å.
Space group Pnma (No. 62)
Symmetry-distinct sites (fractional):
Y: 0.0080 0.2500 0.2058 x4  6 Pd 3.11-3.39, 6 Sn 3.19-3.33
Sn: 0.1944 0.2500 0.5878 x4  4 Pd 2.69-2.88
Pd: 0.2051 0.7500 0.4156 x4  4 Sn 2.69-2.88

=====

This record from OQMD describes an optimized crystal structure of Li2CuPd. The functional is GGA-PBE.

V: 13.299 Å³/atom
electronic total energy: -3.47 eV/atom
crystal system: cubic

abc: 5.9700 5.9700 5.9700
angles: 90.00 90.00 90.00
Last column: nearest neighbours and their distance in Å.
Space group F-43m (No. 216)
Symmetry-distinct sites (fractional):
Li: 0.0000 0.0000 0.0000 x4  4 Li 2.59, 4 Cu 2.59
Li: 0.2500 0.2500 0.2500 x4  4 Li 2.59, 4 Pd 2.59
Cu: 0.2500 0.2500 0.7500 x4  4 Li 2.59, 4 Pd 2.59
Pd: 0.0000 0.0000 0.5000 x4  4 Li 2.59, 4 Cu 2.59

=====

This record from OQMD describes an optimized crystal structure of Zn2Sn. The functional is GGA-PBE.

V: 19.730 Å³/atom
electronic total energy: -2.06 eV/atom
crystal system: orthorhombic

abc: 5.1906 9.9085 4.6033
angles: 90.00 90.00 90.00
Last column: nearest neighbours and their distance in Å.
Space group Pmmn (No. 59, origin choice 2)
Symmetry-distinct sites (fractional):
Zn: 0.2500 0.1180 0.0821 x4  3 Zn 2.62-2.65, 1 Sn 2.81
Zn: 0.2500 0.2500 0.5818 x2  6 Zn 2.65-2.90
Zn: 0.2500 0.7500 0.1358 x2  4 Sn 2.87-2.91, 6 Zn 2.90-3.07
Sn: 0.2500 0.5738 0.6312 x4  5 Zn 2.81-2.94

=====

This record from OQMD describes an optimized crystal structure of HoScCSe. The functional is GGA-PBE.

V: 18.198 Å³/atom
electronic total energy: -7.05 eV/atom
crystal system: hexagonal
distance to the lowest polymorph of the same formula: 0.00 eV/f.u.

abc: 3.6276 3.6276 12.7746
angles: 90.00 90.00 120.00
Last column: nearest neighbours and their distance in Å.
Space group P-6m2 (No. 187)
Symmetry-distinct sites (fractional):
Ho: 0.0000 0.0000 0.1576 x2  3 C 2.48
Sc: 0.3333 0.6667 0.3557 x2  3 C 2.42
C: 0.6667 0.3333 0.2614 x2  3 Sc 2.42, 3 Ho 2.48
Se: 0.0000 0.0000 0.5000 x1  6 Sc 2.79
Se: 0.3333 0.6667 0.0000 x1  6 Ho 2.91

=====

This record from OQMD describes an optimized crystal structure of SmB2H8. The functional is GGA-PBE.

V: 8.310 Å³/atom
electronic total energy: -4.30 eV/atom
crystal system: orthorhombic

abc: 7.1329 7.5965 6.7479
angles: 90.00 90.00 90.00
Last column: nearest neighbours and their distance in Å.
Space group Pbcn (No. 60)
Symmetry-distinct sites (fractional):
Sm: 0.0000 0.1025 0.2500 x4  10 H 2.40-2.63
B: 0.2466 0.3675 0.1038 x8  4 H 1.22-1.25
H: 0.1107 0.2008 0.6698 x8  1 B 1.23
H: 0.1451 0.4202 0.2372 x8  1 B 1.22
H: 0.1659 0.2669 0.9907 x8  1 B 1.22
H: 0.2124 0.0018 0.5005 x8  1 B 1.25

=====

This record from OQMD describes an optimized crystal structure of ZrZnAgPt. The functional is GGA-PBE.

energy of formation: -186 kJ/mol of formula units
V: 17.451 Å³/atom
electronic total energy: -5.15 eV/atom
crystal system: cubic
distance to the lowest polymorph of the same formula: 0.00 eV/f.u.

abc: 6.5361 6.5361 6.5361
angles: 90.00 90.00 90.00
Last column: nearest neighbours and their distance in Å.
Space group F-43m (No. 216)
Symmetry-distinct sites (fractional):
Zr: 0.0000 0.0000 0.0000 x4  4 Ag 2.83, 4 Pt 2.83
Zn: 0.0000 0.0000 0.5000 x4  4 Pt 2.83, 4 Ag 2.83
Ag: 0.2500 0.2500 0.2500 x4  4 Zr 2.83, 4 Zn 2.83
Pt: 0.2500 0.2500 0.7500 x4  4 Zr 2.83, 4 Zn 2.83

=====

This record from OQMD describes an optimized crystal structure of HoEr2. The functional is GGA-PBE.

energy of formation: 0 kJ/mol of formula units
V: 30.276 Å³/atom
electronic total energy: -4.57 eV/atom
crystal system: trigonal
distance to the lowest polymorph of the same formula: 0.00 eV/f.u.

abc: 3.5274 3.5274 25.2824
angles: 90.00 90.00 120.00
Last column: nearest neighbours and their distance in Å.
Space group R-3m (No. 166, hexagonal axes)
Symmetry-distinct sites (fractional):
Ho: 0.0000 0.0000 0.0000 x3  6 Er 3.48, 6 Ho 3.53
Er: 0.0000 0.0000 0.2219 x6  9 Er 3.46-3.53, 3 Ho 3.48

=====

This record from OQMD describes an optimized crystal structure of GdY2In3Fe3. The functional is GGA-PBE.

V: 21.088 Å³/atom
electronic total energy: -5.72 eV/atom
crystal system: orthorhombic

abc: 3.9205 12.8890 7.5120
angles: 90.00 90.00 90.00
Last column: nearest neighbours and their distance in Å.
Space group Amm2 (No. 38)
Symmetry-distinct sites (fractional):
Gd: 0.0000 0.0000 0.0000 x2  5 Fe 2.98-3.10, 2 In 3.17
Y: 0.0000 0.2039 0.3809 x4  5 Fe 3.00-3.05, 6 In 3.17-3.33
In: 0.5000 0.0000 0.3323 x2  4 Fe 2.74-2.84
In: 0.5000 0.1284 0.7149 x4  4 Fe 2.74-2.82
Fe: 0.0000 0.0000 0.5868 x2  6 In 2.74, 2 Y 3.05
Fe: 0.5000 0.1666 0.0852 x4  3 In 2.82-2.84, 2 Gd 2.98, 4 Y 3.00

=====

This record from OQMD describes an optimized crystal structure of BaNb2Ni. The functional is GGA-PBE.

V: 20.178 Å³/atom
electronic total energy: -6.01 eV/atom
crystal system: cubic

abc: 6.8601 6.8601 6.8601
angles: 90.00 90.00 90.00
Last column: nearest neighbours and their distance in Å.
Space group F-43m (No. 216)
Symmetry-distinct sites (fractional):
Ba: 0.0000 0.0000 0.0000 x4  4 Nb 2.97, 4 Ni 2.97
Nb: 0.0000 0.0000 0.5000 x4  4 Nb 2.97, 4 Ni 2.97
Nb: 0.2500 0.2500 0.7500 x4  4 Ba 2.97, 4 Nb 2.97
Ni: 0.2500 0.2500 0.2500 x4  4 Ba 2.97, 4 Nb 2.97